1.
! K2CaZrS4 (PBE, relaxed); values from VASP
&SYSTEM
  ibrav = 0, nat = 8, ntyp = 4
/
ATOMIC_SPECIES
K 39.10 K.upf
Ca 40.08 Ca.upf
Zr 91.22 Zr.upf
S 32.06 S.upf
CELL_PARAMETERS angstrom
6.972 0.000 0.000
0.000 3.959 0.000
-2.245 0.000 7.314
ATOMIC_POSITIONS crystal
K 0.000 0.000 0.000
K 0.500 0.500 0.000
Ca 0.000 0.500 0.500
Zr 0.500 0.000 0.500
S 0.260 0.000 0.699
S 0.287 0.500 0.304
S 0.713 0.500 0.696
S 0.740 0.000 0.301
! **V**: 25.234 Å³ per atom
! **Total DFT energy (no corrections)**: -5.290 eV/atom

2.
! K4CaSb (PBE, relaxed); values from VASP
&SYSTEM
  ibrav = 0, nat = 6, ntyp = 3
/
ATOMIC_SPECIES
K 39.10 K.upf
Ca 40.08 Ca.upf
Sb 121.76 Sb.upf
CELL_PARAMETERS angstrom
0.000 5.203 5.203
5.203 0.000 5.203
5.203 5.203 0.000
ATOMIC_POSITIONS crystal
K 0.123 0.123 0.123
K 0.123 0.123 0.631
K 0.123 0.631 0.123
K 0.631 0.123 0.123
Ca 0.500 0.500 0.500
Sb 0.750 0.750 0.750
! **V**: 46.957 Å³ per atom
! **Total DFT energy (no corrections)**: -1.557 eV/atom

3.
! K2CaSb2 (PBE, relaxed); values from VASP
&SYSTEM
  ibrav = 0, nat = 10, ntyp = 3
/
ATOMIC_SPECIES
K 39.10 K.upf
Ca 40.08 Ca.upf
Sb 121.76 Sb.upf
CELL_PARAMETERS angstrom
8.165 0.000 0.000
0.000 8.165 0.000
0.000 0.000 5.653
ATOMIC_POSITIONS crystal
K 0.162 0.338 0.000
K 0.338 0.838 0.000
K 0.662 0.162 0.000
K 0.838 0.662 0.000
Ca 0.000 0.000 0.500
Ca 0.500 0.500 0.500
Sb 0.128 0.628 0.500
Sb 0.372 0.128 0.500
Sb 0.628 0.872 0.500
Sb 0.872 0.372 0.500
! **V**: 37.688 Å³ per atom
! **Total DFT energy (no corrections)**: -3.027 eV/atom
! **Energy above the lowest structure with this stoichiometry**: 0.0 kJ per mole of atoms

4.
! KCa2Sb2 (PBE, relaxed); values from VASP
&SYSTEM
  ibrav = 0, nat = 5, ntyp = 3
/
ATOMIC_SPECIES
K 39.10 K.upf
Ca 40.08 Ca.upf
Sb 121.76 Sb.upf
CELL_PARAMETERS angstrom
-2.673 2.673 6.609
2.673 -2.673 6.609
2.673 2.673 -6.609
ATOMIC_POSITIONS crystal
K 0.000 0.000 0.000
Ca 0.250 0.750 0.500
Ca 0.750 0.250 0.500
Sb 0.379 0.379 0.000
Sb 0.621 0.621 0.000
! **V**: 37.773 Å³ per atom
! **Total DFT energy (no corrections)**: -3.340 eV/atom
! **Energy above the lowest structure with this stoichiometry**: 10.7 kJ per mole of atoms